VASP calculation (PBE) on a relaxed Er3CoCl3 crystal.

As for the total energy: -5.160 eV/atom. As for the mass density: 6.1 g/cm3. The value obtained for the uncorrected formation energy is -1398 meV per atom. As for the space group: P2_1/m, No. 11. The calculated volume comes out at 25.759 Å³ per atom. Its density of states at the Fermi level is 3.3 states/eV per cell.

Lattice parameters (Å, degrees): 8.186 3.891 11.322 90.00 90.34 90.00
Positions (direct):
Er  0.100  0.250  0.328
Er  0.148  0.250  0.861
Er  0.272  0.750  0.100
Er  0.728  0.250  0.900
Er  0.852  0.750  0.139
Er  0.900  0.750  0.672
Co  0.054  0.250  0.096
Co  0.946  0.750  0.904
Cl  0.123  0.250  0.598
Cl  0.330  0.750  0.352
Cl  0.432  0.750  0.872
Cl  0.568  0.250  0.128
Cl  0.670  0.250  0.648
Cl  0.877  0.750  0.402

=====

VASP calculation (PBE) on a relaxed ErCoCl crystal.

As for the total energy: -5.251 eV/atom. As for the mass density: 6.5 g/cm3. The value obtained for the uncorrected formation energy is -746 meV per atom. As for the space group: C2/m, No. 12. The calculated volume comes out at 22.254 Å³ per atom. Its density of states at the Fermi level is 4.4 states/eV per cell.

Lattice parameters (Å, degrees): 3.731 3.731 9.660 91.00 91.00 83.46
Positions (direct):
Er  0.147  0.147  0.170
Er  0.853  0.853  0.830
Co  0.367  0.367  0.914
Co  0.633  0.633  0.086
Cl  0.258  0.258  0.671
Cl  0.742  0.742  0.329

=====

VASP calculation (PBE) on a relaxed KErCoCl6 crystal.

As for the total energy: -4.290 eV/atom. As for the mass density: 3.0 g/cm3. The value obtained for the uncorrected formation energy is -1641 meV per atom. As for the space group: C2, No. 5. The calculated volume comes out at 29.636 Å³ per atom. Its density of states at the Fermi level is 0.9 states/eV per cell.

Lattice parameters (Å, degrees): 6.624 6.624 7.028 90.11 90.11 120.14
Positions (direct):
K  0.000  0.000  0.000
Er  0.666  0.334  0.500
Co  0.333  0.667  0.500
Cl  0.019  0.378  0.706
Cl  0.019  0.639  0.294
Cl  0.361  0.981  0.706
Cl  0.367  0.384  0.291
Cl  0.616  0.633  0.709
Cl  0.622  0.981  0.294